Material: TbSm2Ag
Method: DFT, PBE-GGA
State: optimized geometry

a = 5.559 Å, b = 5.559 Å, c = 3.707 Å
α = 90.00°, β = 90.00°, γ = 90.00°
Space group P4/mmm (No. 123)
Asymmetric unit:
1 Tb 0.000 0.000 0.000
2 Sm 0.000 0.500 0.500
3 Ag 0.500 0.500 0.000

Results
Total magnetization (μB/atom): 0.000
E_tot (Ry per atom): -0.312